Record 1
The following is a PBE calculation of crystalline RbReHg3 at its relaxed geometry, from Alexandria.

Results
- Formation energy from the elements: 0.4682 eV/atom
- Energy above the most stable polymorph in this dataset: 0.0 meV/atom
- Space-group type: Pm-3m
- Total moment: 1.6 μB per formula unit
- DOS at the Fermi energy: 0.906 states/eV per atom

Unit cell a=5.4116 b=5.4116 c=5.4116 alpha=90.00 beta=90.00 gamma=90.00
Site moments in Bohr magnetons follow the coordinates.
Positions (direct):
Re  0.0000  0.0000  0.0000  1.32
Hg  0.0000  0.5000  0.0000  0.03
Rb  0.5000  0.5000  0.5000  -0.01
Hg  0.5000  0.0000  0.0000  0.00
Hg  0.0000  0.0000  0.5000  0.06

---

Record 2
The following is a PBE calculation of crystalline RbHgRh2 at its relaxed geometry, from Alexandria.

Results
- Formation energy from the elements: 0.5722 eV/atom
- Space-group type: I-42d
- Total moment: 0.0 μB per formula unit
- DOS at the Fermi energy: 0.886 states/eV per atom

Unit cell a=4.8663 b=4.8663 c=10.4288 alpha=76.51 beta=76.51 gamma=90.00
Positions (direct):
Rb  0.2500  0.7500  0.5000
Rb  0.5000  0.5000  0.0000
Rh  0.8823  0.6250  0.2500
Rh  0.3750  0.1323  0.7500
Hg  0.7500  0.2500  0.5000
Rh  0.8750  0.1177  0.7500
Hg  0.0000  0.0000  0.0000
Rh  0.8677  0.1250  0.2500

---

Record 3
The following is a PBE calculation of crystalline Rb2Hg6Rh at its relaxed geometry, from Alexandria.

Results
- Formation energy from the elements: -0.1347 eV/atom
- Space-group type: I4/mmm
- Total moment: 0.0 μB per formula unit
- DOS at the Fermi energy: 0.358 states/eV per atom

Unit cell a=7.2781 b=7.2781 c=10.1549 alpha=90.00 beta=90.00 gamma=90.00
Positions (direct):
Rb  0.5000  0.0000  0.2500
Hg  0.5000  0.5000  0.7713
Rh  0.0000  0.0000  0.0000
Rb  0.0000  0.5000  0.7500
Rb  0.0000  0.5000  0.2500
Hg  0.0000  0.0000  0.7287
Rh  0.5000  0.5000  0.5000
Hg  0.2673  0.2673  0.0000
Hg  0.7673  0.7673  0.5000
Hg  0.2673  0.7327  0.0000
Hg  0.2327  0.7673  0.5000
Hg  0.7673  0.2327  0.5000
Rb  0.5000  0.0000  0.7500
Hg  0.7327  0.2673  0.0000
Hg  0.0000  0.0000  0.2713
Hg  0.5000  0.5000  0.2287
Hg  0.7327  0.7327  0.0000
Hg  0.2327  0.2327  0.5000

---

Record 4
The following is a PBE calculation of crystalline Rb2Hg2Rh at its relaxed geometry, from Alexandria.

Results
- Formation energy from the elements: 0.5396 eV/atom
- Energy above the most stable polymorph in this dataset: 451.5 meV/atom
- Space-group type: P4/mbm
- Total moment: 1.0 μB per formula unit
- DOS at the Fermi energy: 1.217 states/eV per atom

Unit cell a=10.2107 b=10.2107 c=3.3691 alpha=90.00 beta=90.00 gamma=90.00
Site moments in Bohr magnetons follow the coordinates.
Positions (direct):
Rb  0.6901  0.1901  0.0000  -0.01
Hg  0.6063  0.8937  0.5000  -0.01
Rb  0.3099  0.8099  0.0000  -0.01
Rb  0.1901  0.3099  0.0000  -0.01
Rh  0.0000  0.0000  0.0000  1.06
Hg  0.1063  0.6063  0.5000  -0.01
Hg  0.3937  0.1063  0.5000  -0.01
Rb  0.8099  0.6901  0.0000  -0.01
Rh  0.5000  0.5000  0.0000  1.06
Hg  0.8937  0.3937  0.5000  -0.01

---

Record 5
The following is a PBE calculation of crystalline RbHg2Rh at its relaxed geometry, from Alexandria.

Results
- Formation energy from the elements: 0.1695 eV/atom
- Energy above the most stable polymorph in this dataset: 0.0 meV/atom
- Space-group type: I-42d
- Total moment: 0.0 μB per formula unit
- DOS at the Fermi energy: 0.241 states/eV per atom

Unit cell a=5.9143 b=5.9143 c=9.6819 alpha=72.22 beta=72.22 gamma=90.00
Positions (direct):
Hg  0.8750  0.0986  0.7500
Hg  0.9014  0.6250  0.2500
Hg  0.3750  0.1514  0.7500
Rb  0.2500  0.7500  0.5000
Rb  0.5000  0.5000  0.0000
Hg  0.8486  0.1250  0.2500
Rh  0.7500  0.2500  0.5000
Rh  0.0000  0.0000  0.0000

---

Record 6
The following is a PBE calculation of crystalline Rb2Hg4Rh at its relaxed geometry, from Alexandria.

Results
- Formation energy from the elements: -0.1731 eV/atom
- Space-group type: I4/mmm
- Total moment: 0.0 μB per formula unit
- DOS at the Fermi energy: 0.293 states/eV per atom

Unit cell a=5.3989 b=5.3989 c=9.7112 alpha=73.86 beta=73.86 gamma=90.00
Positions (direct):
Hg  0.0000  0.5000  0.0000
Rb  0.6424  0.6424  0.7151
Rb  0.3576  0.3576  0.2849
Hg  0.1507  0.1507  0.6986
Hg  0.5000  0.0000  0.0000
Rh  0.0000  0.0000  0.0000
Hg  0.8493  0.8493  0.3014

---

> Which value of DOS at the Fermi energy does entry 2 give?

0.886 states/eV per atom